[1]
Below is a relaxed structure of Cs2ZrI7, with properties calculated at the PBE-GGA level.

Geometry as POSCAR:
```
Cs2ZrI7
1.0
10.041 -4.423 0.000
10.041 4.423 0.000
-9.268 0.000 11.454
Cs Zr I
4 2 14
direct
0.043 0.702 0.953
0.298 0.957 0.547
0.702 0.043 0.453
0.957 0.298 0.047
0.272 0.728 0.750
0.728 0.272 0.250
0.102 0.104 0.278
0.104 0.102 0.778
0.196 0.642 0.506
0.226 0.448 0.691
0.358 0.804 0.994
0.391 0.609 0.250
0.448 0.226 0.191
0.552 0.774 0.809
0.609 0.391 0.750
0.642 0.196 0.006
0.774 0.552 0.309
0.804 0.358 0.494
0.896 0.898 0.222
0.898 0.896 0.722
```

- M_tot: 0.0 μB/f.u.
- Formation energy from raw total energies: -1.025 eV per atom
- Density of states at the Fermi level: 7.30 states/eV per cell
- Energy: -3.1356 eV/atom


[2]
Below is a relaxed structure of Li2TbPm2Ga2, with properties calculated at the PBE-GGA level.

Geometry as POSCAR:
```
Li2TbPm2Ga2
1.0
2.320 1.339 8.898
-2.320 1.339 8.898
0.000 -2.679 8.898
Li Tb Pm Ga
2 1 2 2
direct
0.109 0.109 0.109
0.891 0.891 0.891
0.500 0.500 0.500
0.375 0.375 0.375
0.625 0.625 0.625
0.235 0.235 0.235
0.765 0.765 0.765
```

- Formation energy: -0.29 eV per atom
- M_tot: 0.0 μB/f.u.
- Density of states at the Fermi level: 5.74 states/eV per cell
- Energy: -3.7158 eV/atom


[3]
Below is a relaxed structure of LiCaZrF2, with properties calculated at the PBE-GGA level.

Geometry as POSCAR:
```
LiCaZrF2
1.0
4.280 0.000 0.000
0.000 4.280 0.000
0.000 0.000 6.742
Li Ca Zr F
1 1 1 2
direct
0.000 0.000 0.000
0.000 0.000 0.500
0.500 0.500 0.000
0.000 0.500 0.500
0.500 0.000 0.500
```

- M_tot: 3.0 μB/f.u.
- Formation energy from raw total energies: -1.277 eV per atom
- Density of states at the Fermi level: 2.77 states/eV per cell
- Energy: -4.5181 eV/atom


[4]
Below is a relaxed structure of MgPRu, with properties calculated at the PBE-GGA level.

Geometry as POSCAR:
```
MgPRu
1.0
4.050 0.000 0.000
0.000 4.050 0.000
0.000 0.000 5.824
Mg P Ru
2 2 2
direct
0.250 0.250 0.164
0.750 0.750 0.836
0.250 0.250 0.719
0.750 0.750 0.281
0.250 0.750 0.500
0.750 0.250 0.500
```

- Formation energy: -0.58 eV per atom
- M_tot: 0.0 μB/f.u.
- Density of states at the Fermi level: 4.07 states/eV per cell
- Energy: -6.0093 eV/atom


[5]
Below is a relaxed structure of PmEr5Sc, with properties calculated at the PBE-GGA level.

Geometry as POSCAR:
```
PmEr5Sc
1.0
-4.015 5.686 2.989
4.015 -5.686 2.989
4.015 5.686 -2.989
Pm Er Sc
1 5 1
direct
0.000 0.000 0.000
0.475 0.475 0.000
0.486 0.737 0.748
0.742 0.065 0.324
0.742 0.418 0.676
0.989 0.737 0.252
0.243 0.743 0.500
```

- Relative energy among the computed polymorphs: 968 meV/atom
- Formation energy: 0.99 eV per atom
- M_tot: 0.0 μB/f.u.
- Density of states at the Fermi level: 9.67 states/eV per cell
- Energy: -3.8482 eV/atom


[6]
Below is a relaxed structure of Ca3InBi, with properties calculated at the PBE-GGA level.

Geometry as POSCAR:
```
Ca3InBi
1.0
5.841 0.000 0.000
0.000 5.841 0.000
0.000 0.000 5.841
Ca In Bi
3 1 1
direct
0.000 0.000 0.500
0.000 0.500 0.000
0.500 0.000 0.000
0.000 0.000 0.000
0.500 0.500 0.500
```

- Relative energy among the computed polymorphs: 431 meV/atom
- Formation energy: -0.11 eV per atom
- M_tot: 0.0 μB/f.u.
- Density of states at the Fermi level: 8.25 states/eV per cell
- Energy: -2.6389 eV/atom